{"formula": "MgInPbO2", "functional": "GGA-PBE", "state": "relaxed", "formation_energy_uncorrected_ev_per_atom": -0.054, "dft_energy_ev_per_atom": -3.646, "sg": "P4/mmm, No. 123", "lattice": [[4.3281, 0.0000, 0.0000], [0.0000, 4.3281, 0.0000], [0.0000, 0.0000, 5.9810]], "species": ["Mg", "In", "Pb", "O", "O"], "frac_coords": [[0.0000, 0.0000, 0.0000], [0.5000, 0.5000, 0.0000], [0.0000, 0.0000, 0.5000], [0.0000, 0.5000, 0.5000], [0.5000, 0.0000, 0.5000]]}

{"formula": "Mg2InPdO", "functional": "GGA-PBE", "state": "relaxed", "formation_energy_uncorrected_ev_per_atom": -0.100, "dft_energy_ev_per_atom": -3.316, "sg": "P4/mmm, No. 123", "lattice": [[5.2550, 0.0000, 0.0000], [0.0000, 5.2550, 0.0000], [0.0000, 0.0000, 3.8770]], "species": ["Mg", "Mg", "In", "Pd", "O"], "frac_coords": [[0.0000, 0.5000, 0.0000], [0.5000, 0.0000, 0.0000], [0.0000, 0.0000, 0.5000], [0.5000, 0.5000, 0.0000], [0.5000, 0.5000, 0.5000]]}

{"formula": "MgInPtO4", "functional": "GGA-PBE", "state": "relaxed", "formation_energy_uncorrected_ev_per_atom": -1.328, "dft_energy_ev_per_atom": -5.644, "sg": "Imma, No. 74", "lattice": [[-3.1221, 3.1424, 4.6544], [3.1221, -3.1424, 4.6544], [3.1221, 3.1424, -4.6544]], "species": ["Mg", "Mg", "In", "In", "Pt", "Pt", "O", "O", "O", "O", "O", "O", "O", "O"], "frac_coords": [[0.3781, 0.1281, 0.2500], [0.6219, 0.8719, 0.7500], [0.0000, 0.5000, 0.5000], [0.5000, 0.5000, 0.0000], [0.0000, 0.0000, 0.5000], [0.0000, 0.5000, 0.0000], [0.2160, 0.7447, 0.4712], [0.2265, 0.2553, 0.9712], [0.2610, 0.2746, 0.5136], [0.2610, 0.7474, 0.9864], [0.7390, 0.2526, 0.0136], [0.7390, 0.7254, 0.4864], [0.7735, 0.7447, 0.0288], [0.7840, 0.2553, 0.5288]]}

{"formula": "PuMg2InO6", "functional": "GGA-PBE", "state": "relaxed", "formation_energy_uncorrected_ev_per_atom": -2.394, "dft_energy_ev_per_atom": -7.395, "sg": "R3, No. 146", "lattice": [[2.7119, 1.5657, 4.8735], [-2.7119, 1.5657, 4.8735], [0.0000, -3.1314, 4.8735]], "species": ["Pu", "Mg", "Mg", "In", "O", "O", "O", "O", "O", "O"], "frac_coords": [[0.0000, 0.0000, 0.0000], [0.2975, 0.2975, 0.2975], [0.7921, 0.7921, 0.7921], [0.5050, 0.5050, 0.5050], [0.0924, 0.4055, 0.7012], [0.1944, 0.9135, 0.5977], [0.4055, 0.7012, 0.0924], [0.5977, 0.1944, 0.9135], [0.7012, 0.0924, 0.4055], [0.9135, 0.5977, 0.1944]]}